No. 1
ThPa2Ir3 (PBE, relaxed); D(E_F) = 0.5553 states/eV/atom; spin magnetization = 0.00 Bohr magnetons per cell; E = -9.7274 eV/atom; space-group type = Pnma (62)
1.0
12.1289 0.0000 0.0000
0.0000 5.7259 -0.0085
0.0000 0.0133 8.0863
Ir Pa Th
12 8 4
direct
0.0866 0.7499 0.8643
0.0889 0.7499 0.3856
0.9134 0.2501 0.1357
0.2472 0.2498 0.1258
0.7472 0.7502 0.3742
0.4134 0.7499 0.3643
0.7528 0.7502 0.8742
0.4111 0.7499 0.8856
0.5866 0.2501 0.6357
0.5889 0.2501 0.1144
0.2528 0.2498 0.6258
0.9111 0.2501 0.6144
0.4149 0.2499 0.8780
0.7532 0.2503 0.8746
0.2532 0.7497 0.6254
0.5851 0.7501 0.1220
0.7468 0.2503 0.3746
0.9149 0.7501 0.6220
0.2468 0.7497 0.1254
0.0851 0.2499 0.3780
0.9188 0.7501 0.1278
0.0812 0.2499 0.8722
0.4188 0.2499 0.3722
0.5812 0.7501 0.6278

No. 2
CaLa2I8 (PBE, relaxed); D(E_F) = 0.0000 states/eV/atom; spin magnetization = 0.00 Bohr magnetons per cell; ΔE_f (raw) = -1.461 eV/atom; E = -3.6664 eV/atom; space-group type = C2/c (15)
1.0
-1.0608 -4.1218 -9.8421
3.0938 -10.1748 -1.3723
-9.9563 -7.6268 -0.5668
La Ca I
4 2 16
direct
0.0078 0.4860 0.7120
0.9922 0.5140 0.2880
0.4860 0.0078 0.2120
0.5140 0.9922 0.7880
0.9862 0.0138 0.7500
0.0138 0.9862 0.2500
0.2138 0.9645 0.3970
0.3216 0.9238 0.6972
0.7862 0.0355 0.6030
0.0355 0.7862 0.1030
0.9591 0.3250 0.5577
0.6784 0.0762 0.3028
0.3201 0.3494 0.1740
0.0762 0.6784 0.8028
0.3250 0.9591 0.0577
0.0409 0.6750 0.4423
0.6506 0.6799 0.3260
0.9645 0.2138 0.8970
0.6750 0.0409 0.9423
0.3494 0.3201 0.6740
0.9238 0.3216 0.1972
0.6799 0.6506 0.8260

No. 3
Cd2TcOs (PBE, relaxed); D(E_F) = 1.1067 states/eV/atom; spin magnetization = 0.05 Bohr magnetons per cell; E = -5.2595 eV/atom; space-group type = R-3m (166); relative energy among the computed polymorphs = 0.439 eV per atom
1.0
9.7460 -0.0007 -0.0004
9.3300 2.8172 -0.0004
9.3300 1.3776 2.4575
Cd Os Tc
2 1 1
direct
0.5003 0.5003 0.5003
0.9997 0.9997 0.9997
0.2500 0.2500 0.2500
0.7500 0.7500 0.7500